Computed, not measured: an optimized crystal structure of Na3CaHg7 at the PBE level of DFT.

a = 3.544 Å, b = 21.775 Å, c = 16.083 Å
α = 90.00°, β = 90.00°, γ = 90.00°
Space group Cmcm (No. 63)
Asymmetric unit:
Na 0.000 0.115 0.019 (multiplicity 8)
Na 0.000 0.242 0.750 (multiplicity 4)
Ca 0.000 0.021 0.750 (multiplicity 4)
Hg 0.000 0.249 0.081 (multiplicity 8)
Hg 0.000 0.372 0.155 (multiplicity 8)
Hg 0.000 0.391 0.750 (multiplicity 4)
Hg 0.000 0.495 0.590 (multiplicity 8)

DFT total energy ... -0.036 hartree per atom

Computed, not measured: an optimized crystal structure of AcLa9Y2 at the PBE level of DFT.

a = 5.264 Å, b = 5.264 Å, c = 15.826 Å
α = 90.00°, β = 90.00°, γ = 90.00°
Space group P4/mmm (No. 123)
Asymmetric unit:
Ac 0.000 0.000 0.000 (multiplicity 1)
La 0.000 0.500 0.172 (multiplicity 4)
La 0.000 0.500 0.500 (multiplicity 2)
La 0.500 0.500 0.000 (multiplicity 1)
La 0.500 0.500 0.337 (multiplicity 2)
Y 0.000 0.000 0.337 (multiplicity 2)

DFT total energy ... -0.187 hartree per atom

Computed, not measured: an optimized crystal structure of Na3Tl3OsO8 at the PBE level of DFT.

a = 11.757 Å, b = 6.920 Å, c = 6.819 Å
α = 90.00°, β = 124.22°, γ = 90.00°
Space group C2/m (No. 12)
Asymmetric unit:
Na 0.000 0.000 0.000 (multiplicity 2)
Na 0.250 0.250 0.500 (multiplicity 4)
Tl 0.000 0.500 0.500 (multiplicity 2)
Tl 0.250 0.250 0.000 (multiplicity 4)
Os 0.000 0.000 0.500 (multiplicity 2)
O 0.001 0.202 0.701 (multiplicity 8)
O 0.201 0.000 0.703 (multiplicity 4)
O 0.244 0.500 0.757 (multiplicity 4)

Formation energy (no corrections) ... -16.310 eV per formula unit

Computed, not measured: an optimized crystal structure of La2MnBeW at the PBE level of DFT.

a = 5.412 Å, b = 5.412 Å, c = 4.449 Å
α = 90.00°, β = 90.00°, γ = 90.00°
Space group P4/mmm (No. 123)
Asymmetric unit:
La 0.000 0.500 0.000 (multiplicity 2)
Mn 0.000 0.000 0.500 (multiplicity 1)
Be 0.500 0.500 0.500 (multiplicity 1)
W 0.500 0.500 0.000 (multiplicity 1)

DFT total energy ... -0.214 hartree per atom

Q: Number 1 is which compound?
A: Na3CaHg7

Please write out number 1 again, unchanged.
Computed, not measured: an optimized crystal structure of Na3CaHg7 at the PBE level of DFT.

a = 3.544 Å, b = 21.775 Å, c = 16.083 Å
α = 90.00°, β = 90.00°, γ = 90.00°
Space group Cmcm (No. 63)
Asymmetric unit:
Na 0.000 0.115 0.019 (multiplicity 8)
Na 0.000 0.242 0.750 (multiplicity 4)
Ca 0.000 0.021 0.750 (multiplicity 4)
Hg 0.000 0.249 0.081 (multiplicity 8)
Hg 0.000 0.372 0.155 (multiplicity 8)
Hg 0.000 0.391 0.750 (multiplicity 4)
Hg 0.000 0.495 0.590 (multiplicity 8)

DFT total energy ... -0.036 hartree per atom